! NaSr2AlRh | the Alexandria database | PBE | relaxed; values from VASP
&SYSTEM
  ibrav = 0, nat = 5, ntyp = 4
/
ATOMIC_SPECIES
Na 22.99 Na.upf
Sr 87.62 Sr.upf
Al 26.98 Al.upf
Rh 102.91 Rh.upf
ATOMIC_POSITIONS crystal
Na 0.000 0.000 0.000
Sr 0.000 0.500 0.500
Sr 0.500 0.000 0.500
Al 0.500 0.500 0.000
Rh 0.500 0.500 0.500
CELL_PARAMETERS angstrom
5.875 0.000 0.000
0.000 5.875 0.000
0.000 0.000 4.872
! **Electronic total energy**: -16.8 eV per cell
! **DOS at the Fermi energy**: 3.68 states/eV/cell